No. 1
A relaxed structure of HfCrPd. Source: Alexandria, functional GGA-PBE.

Calculated values
DFT total energy in eV/cell: -50.45
Space group: C2/m, No. 12
Energy of formation from the pure elements in meV per atom: -151.5
Offset from the most stable computed form in meV/atom: 137

Geometry as POSCAR:
```
HfCrPd
1.0
4.573 -2.105 0.000
4.573 2.105 0.000
-3.298 0.000 5.136
Hf Cr Pd
2 2 2
direct
0.049 0.049 0.286
0.951 0.951 0.714
0.377 0.377 0.374
0.623 0.623 0.626
0.316 0.316 0.895
0.684 0.684 0.105
```

***

No. 2
A relaxed structure of La2PrHg5. Source: Alexandria, functional GGA-PBE.

Calculated values
DFT total energy in eV/cell: -19.82
Space group: I4/mmm, No. 139
Energy of formation from the pure elements in meV per atom: -459.6

Geometry as POSCAR:
```
La2PrHg5
1.0
-2.687 2.687 7.687
2.687 -2.687 7.687
2.687 2.687 -7.687
La Pr Hg
2 1 5
direct
0.231 0.231 0.000
0.769 0.769 0.000
0.500 0.500 0.000
0.000 0.000 0.000
0.119 0.619 0.500
0.381 0.881 0.500
0.619 0.119 0.500
0.881 0.381 0.500
```

***

No. 3
A relaxed structure of La2TmPuS4. Source: Alexandria, functional GGA-PBE.

Calculated values
DFT total energy in eV/cell: -61.29
Space group: P2/m, No. 10
Formation energy (no corrections) in meV per atom: -2014.9

Geometry as POSCAR:
```
La2TmPuS4
1.0
6.955 0.000 0.000
0.000 3.997 0.000
-2.294 0.000 6.654
La Tm Pu S
2 1 1 4
direct
0.000 0.000 0.000
0.500 0.500 0.000
0.000 0.500 0.500
0.500 0.000 0.500
0.237 0.000 0.728
0.252 0.500 0.269
0.748 0.500 0.731
0.763 0.000 0.272
```